# 1
10
Lattice="7.275 0.000 0.000 0.000 7.275 0.000 0.000 0.000 4.111" Properties=species:S:1:pos:R:3 comment="Y2HfGe2 (meta-GGA SCAN, single point on PBEsol structure)" delta_e_f_ev_per_atom=-0.799 space_group="No. 127" rho_g_cm3=7.66 pbc="T T T"
Y 1.239 2.399 0.000
Y 2.399 6.036 0.000
Y 4.876 1.239 0.000
Y 6.036 4.876 0.000
Hf 0.000 0.000 2.056
Hf 3.638 3.638 2.056
Ge 0.981 4.618 2.056
Ge 2.657 0.981 2.056
Ge 4.618 6.294 2.056
Ge 6.294 2.657 2.056


# 2
3
Lattice="-1.464 1.464 5.568 1.464 -1.464 5.568 1.464 1.464 -5.568" Properties=species:S:1:pos:R:3 comment="ReRuBr (meta-GGA SCAN, single point on PBEsol structure)" space_group="No. 107" rho_g_cm3=12.78 formation_energy_uncorrected_ev_per_atom=0.7294 pbc="T T T"
Re 0.000 0.000 0.000
Ru 0.000 0.000 7.072
Br 0.000 0.000 3.644


# 3
10
Lattice="0.000 5.554 5.554 5.554 0.000 5.554 5.554 5.554 0.000" Properties=species:S:1:pos:R:3 comment="K2AgBiBr6 (meta-GGA SCAN, single point on PBEsol structure)" space_group="No. 225" rho_g_cm3=4.24 formation_energy_uncorrected_ev_per_atom=-1.1120 pbc="T T T"
K 2.777 2.777 2.777
K 8.331 8.331 8.331
Ag 0.000 0.000 0.000
Bi 5.554 5.554 5.554
Br 5.554 5.554 2.727
Br 5.554 2.727 5.554
Br 8.381 5.554 5.554
Br 2.727 5.554 5.554
Br 5.554 8.381 5.554
Br 5.554 5.554 8.381


# 4
4
Lattice="-1.923 1.923 4.211 1.923 -1.923 4.211 1.923 1.923 -4.211" Properties=species:S:1:pos:R:3 comment="TaHgRu2 (meta-GGA SCAN, single point on PBEsol structure)" delta_e_f_ev_per_atom=0.138 space_group="No. 119" rho_g_cm3=15.56 pbc="T T T"
Ta 0.000 0.000 0.000
Hg 0.000 1.923 2.106
Ru 1.923 0.000 2.106
Ru 0.000 0.000 4.211


# 5
4
Lattice="2.834 0.000 0.000 0.000 4.058 0.000 -0.240 0.000 5.843" Properties=species:S:1:pos:R:3 comment="TlMo2Pt (meta-GGA SCAN, single point on PBEsol structure)" delta_e_f_ev_per_atom=0.271 space_group="No. 6" rho_g_cm3=14.61 pbc="T T T"
Tl 0.000 0.000 0.000
Mo 0.138 0.000 2.963
Mo 1.069 2.029 4.210
Pt 1.484 2.029 1.522


# 6
5
Lattice="5.430 0.000 0.000 0.000 5.430 0.000 0.000 0.000 5.430" Properties=species:S:1:pos:R:3 comment="KHg3S (meta-GGA SCAN, single point on PBEsol structure)" space_group="No. 221" rho_g_cm3=6.98 formation_energy_uncorrected_ev_per_atom=0.0670 pbc="T T T"
K 0.000 0.000 0.000
Hg 0.000 2.715 2.715
Hg 2.715 0.000 2.715
Hg 2.715 2.715 0.000
S 2.715 2.715 2.715


# 7
5
Lattice="-1.695 1.695 5.167 1.695 -1.695 5.167 1.695 1.695 -5.167" Properties=species:S:1:pos:R:3 comment="Cr2Co2Os (meta-GGA SCAN, single point on PBEsol structure)" delta_e_f_ev_per_atom=0.694 space_group="No. 139" rho_g_cm3=11.52 pbc="T T T"
Cr 0.000 0.000 1.040
Cr 0.000 0.000 9.295
Co 1.695 0.000 2.584
Co 0.000 1.695 2.584
Os 0.000 0.000 5.167


# 8
4
Lattice="3.929 0.000 0.000 0.000 3.929 0.000 0.000 0.000 6.633" Properties=species:S:1:pos:R:3 comment="Y2MgSb (meta-GGA SCAN, single point on PBEsol structure)" space_group="No. 123" rho_g_cm3=5.25 formation_energy_uncorrected_ev_per_atom=-0.6449 pbc="T T T"
Y 0.000 0.000 1.605
Y 0.000 0.000 5.028
Mg 1.965 1.965 3.316
Sb 1.965 1.965 0.000


# 9
5
Lattice="-2.140 2.140 4.952 2.140 -2.140 4.952 2.140 2.140 -4.952" Properties=species:S:1:pos:R:3 comment="Cr2Ge2Pb (meta-GGA SCAN, single point on PBEsol structure)" delta_e_f_ev_per_atom=0.155 space_group="No. 139" rho_g_cm3=8.36 pbc="T T T"
Cr 2.140 0.000 2.476
Cr 0.000 2.140 2.476
Ge 0.000 0.000 1.272
Ge 0.000 0.000 8.631
Pb 0.000 0.000 4.952


# 10
10
Lattice="7.259 0.000 0.000 0.000 7.259 0.000 0.000 0.000 3.485" Properties=species:S:1:pos:R:3 comment="Sn2Pd2Au (meta-GGA SCAN, single point on PBEsol structure)" delta_e_f_ev_per_atom=-0.260 space_group="No. 127" rho_g_cm3=11.70 pbc="T T T"
Sn 1.182 2.447 0.000
Sn 2.447 6.077 0.000
Sn 4.812 1.182 0.000
Sn 6.077 4.812 0.000
Pd 0.998 4.627 1.743
Pd 2.632 0.998 1.743
Pd 4.627 6.261 1.743
Pd 6.261 2.632 1.743
Au 0.000 0.000 1.743
Au 3.630 3.630 1.743


# 11
10
Lattice="0.000 4.085 4.085 4.085 0.000 4.085 4.085 4.085 0.000" Properties=species:S:1:pos:R:3 comment="Sr2TmReO6 (meta-GGA SCAN, single point on PBEsol structure)" space_group="No. 225" rho_g_cm3=7.63 formation_energy_uncorrected_ev_per_atom=-2.8992 pbc="T T T"
Sr 2.043 2.043 2.043
Sr 6.128 6.128 6.128
Tm 0.000 0.000 0.000
Re 4.085 4.085 4.085
O 4.085 4.085 2.143
O 4.085 2.143 4.085
O 6.028 4.085 4.085
O 2.143 4.085 4.085
O 4.085 6.028 4.085
O 4.085 4.085 6.028


# 12
9
Lattice="6.989 0.000 0.000 -3.494 6.053 0.000 0.000 0.000 3.935" Properties=species:S:1:pos:R:3 comment="YAlCu (meta-GGA SCAN, single point on PBEsol structure)" delta_e_f_ev_per_atom=-0.535 space_group="No. 189" rho_g_cm3=5.37 pbc="T T T"
Y -2.044 3.540 0.000
Y 1.451 2.513 0.000
Y 4.088 0.000 0.000
Al -0.826 1.431 1.967
Al 1.652 0.000 1.967
Al 2.668 4.622 1.967
Cu 0.000 0.000 0.000
Cu 0.000 4.035 1.967
Cu 3.494 2.018 1.967


Number 2 is which compound? ReRuBr